# 1
# PrDy2Au

A relaxed structure of PrDy2Au (PBE-GGA, Alexandria via LeMat-Bulk).

Lattice parameters (Å, degrees): 3.644 3.644 8.629 90.00 90.00 90.00
Sites, in units of the cell vectors:
Au 0.500 0.500 0.000
Dy 0.000 0.000 0.200
Dy 0.000 0.000 0.800
Pr 0.500 0.500 0.500

For the relative energy among the computed polymorphs, the calculation gives 0.068 eV/f.u. For the formation energy, the calculation gives -0.406 eV per atom. For the total moment, the calculation gives 0.000 μB/f.u. Its calculated total energy is -18.9 eV/cell. As for the density of states at the Fermi level: 5.6 states/eV/f.u. The calculation puts the calculated volume at 28.64 Å³ per atom.

# 2
# Pr3Dy4Au4

A relaxed structure of Pr3Dy4Au4 (PBE-GGA, Alexandria via LeMat-Bulk).

Lattice parameters (Å, degrees): 4.889 7.819 9.183 115.20 105.44 90.00
Sites, in units of the cell vectors:
Au 0.500 0.810 0.000
Au 0.793 0.293 0.585
Au 0.207 0.707 0.415
Au 0.500 0.190 0.000
Pr 0.897 0.897 0.793
Pr 0.000 0.500 0.000
Pr 0.103 0.103 0.207
Dy 0.673 0.459 0.346
Dy 0.327 0.113 0.654
Dy 0.327 0.541 0.654
Dy 0.673 0.887 0.346

For the formation energy, the calculation gives -0.577 eV per atom. For the total moment, the calculation gives 0.000 μB/f.u. Its calculated total energy is -52.2 eV/cell. As for the density of states at the Fermi level: 9.4 states/eV/f.u. The calculation puts the calculated volume at 27.60 Å³ per atom.

# 3
# PrDy2Au

A relaxed structure of PrDy2Au (PBE-GGA, Alexandria via LeMat-Bulk).

Lattice parameters (Å, degrees): 3.753 3.753 10.258 79.46 79.46 60.00
Sites, in units of the cell vectors:
Dy 0.734 0.734 0.798
Dy 0.266 0.266 0.202
Pr 0.500 0.500 0.500
Au 0.000 0.000 0.000

For the relative energy among the computed polymorphs, the calculation gives 0.546 eV/f.u. For the formation energy, the calculation gives -0.286 eV per atom. For the total moment, the calculation gives 0.000 μB/f.u. Its calculated total energy is -18.4 eV/cell. As for the density of states at the Fermi level: 5.4 states/eV/f.u. The calculation puts the calculated volume at 30.58 Å³ per atom.

# 4
# Pr3DyAu3

A relaxed structure of Pr3DyAu3 (PBE-GGA, Alexandria via LeMat-Bulk).

Lattice parameters (Å, degrees): 7.375 7.375 7.427 91.08 91.08 96.67
Sites, in units of the cell vectors:
Dy 0.253 0.253 0.123
Dy 0.747 0.747 0.877
Pr 0.654 0.654 0.378
Pr 0.823 0.177 0.500
Pr 0.740 0.260 0.000
Pr 0.260 0.740 0.000
Pr 0.346 0.346 0.622
Pr 0.177 0.823 0.500
Au 0.064 0.064 0.816
Au 0.978 0.504 0.723
Au 0.936 0.936 0.184
Au 0.504 0.978 0.723
Au 0.496 0.022 0.277
Au 0.022 0.496 0.277

For the formation energy, the calculation gives -0.591 eV per atom. For the total moment, the calculation gives 0.000 μB/f.u. Its calculated total energy is -65.8 eV/cell. As for the density of states at the Fermi level: 5.7 states/eV/f.u. The calculation puts the calculated volume at 28.65 Å³ per atom.